1.
# CuSbPb PBE-GGA relaxed
# **Fermi-level density of states**: 0.3784 states/eV/atom
# **Formation energy without anion corrections**: 0.061 eV/atom
# **Total DFT energy (no corrections)**: -23.5 eV for the cell shown
# **E above lowest polymorph**: 0.055 eV per formula unit
data_CuSbPb
_space_group_name_H-M_alt 'P -1'
_space_group_IT_number 2
_space_group_name_Hall '-P 1'
_cell_length_a 4.3145
_cell_length_b 4.6582
_cell_length_c 7.5422
_cell_angle_alpha 98.97
_cell_angle_beta 91.23
_cell_angle_gamma 90.14
loop_
_atom_site_label
_atom_site_type_symbol
_atom_site_fract_x
_atom_site_fract_y
_atom_site_fract_z
_atom_site_occupancy
Cu1 Cu 0.2486 0.3496 0.4979 1
Sb1 Sb 0.2474 0.8014 0.3161 1
Pb1 Pb 0.2526 0.6959 0.8618 1

---

2.
# FeCo2 PBE-GGA relaxed
# **Fermi-level density of states**: 1.1076 states/eV/atom
# **DFT formation energy**: 0.021 eV/atom
# **Total DFT energy (no corrections)**: -45.2 eV for the cell shown
data_FeCo2
_space_group_name_H-M_alt 'P -1'
_space_group_IT_number 2
_space_group_name_Hall '-P 1'
_cell_length_a 2.4543
_cell_length_b 4.7364
_cell_length_c 6.1111
_cell_angle_alpha 77.27
_cell_angle_beta 81.97
_cell_angle_gamma 78.50
loop_
_atom_site_label
_atom_site_type_symbol
_atom_site_fract_x
_atom_site_fract_y
_atom_site_fract_z
_atom_site_occupancy
Fe1 Fe 0.0821 0.0866 0.1664 1
Co1 Co 0.2087 0.2480 0.4995 1
Co2 Co 0.4111 0.4155 0.8301 1

---

3.
# KTlSn PBE-GGA relaxed
# **Fermi-level density of states**: 0.3241 states/eV/atom
# **DFT formation energy**: -0.157 eV/atom
# **Total DFT energy (no corrections)**: -15.9 eV for the cell shown
data_KTlSn
_space_group_name_H-M_alt 'P 4/n m m'
_space_group_IT_number 129
_cell_length_a 5.0224
_cell_length_b 5.0224
_cell_length_c 8.5295
_cell_angle_alpha 90.00
_cell_angle_beta 90.00
_cell_angle_gamma 90.00
loop_
_space_group_symop_operation_xyz
'x,y,z'
'-x,-y,-z'
'-y+1/2,x,z'
'y+1/2,-x,-z'
'-x+1/2,-y+1/2,z'
'x+1/2,y+1/2,-z'
'y,-x+1/2,z'
'-y,x+1/2,-z'
'x+1/2,-y,-z'
'-x+1/2,y,z'
'-y,-x,-z'
'y,x,z'
'-x,y+1/2,-z'
'x,-y+1/2,z'
'y+1/2,x+1/2,-z'
'-y+1/2,-x+1/2,z'
loop_
_atom_site_label
_atom_site_type_symbol
_atom_site_fract_x
_atom_site_fract_y
_atom_site_fract_z
_atom_site_occupancy
K1 K 0.2500 0.2500 0.1624 1
Tl1 Tl 0.2500 0.7500 0.5000 1
Sn1 Sn 0.2500 0.2500 0.7210 1

---

4.
# Al2TlPt PBE-GGA relaxed
# **Fermi-level density of states**: 0.3741 states/eV/atom
# **DFT formation energy**: -0.071 eV/atom
# **Total DFT energy (no corrections)**: -32.4 eV for the cell shown
# **E above lowest polymorph**: 1.075 eV per formula unit
data_Al2TlPt
_space_group_name_H-M_alt 'I m m m'
_space_group_IT_number 71
_space_group_name_Hall '-I 2 2'
_cell_length_a 3.7297
_cell_length_b 5.1988
_cell_length_c 8.1543
_cell_angle_alpha 90.00
_cell_angle_beta 90.00
_cell_angle_gamma 90.00
loop_
_atom_site_label
_atom_site_type_symbol
_atom_site_fract_x
_atom_site_fract_y
_atom_site_fract_z
_atom_site_occupancy
Al1 Al 0.0000 0.0000 0.2145 1
Tl1 Tl 0.0000 0.5000 0.0000 1
Pt1 Pt 0.0000 0.5000 0.5000 1

---

5.
# TmZr2Co PBE-GGA relaxed
# **Fermi-level density of states**: 1.2033 states/eV/atom
# **DFT formation energy**: -0.173 eV/atom
# **Total DFT energy (no corrections)**: -117.5 eV for the cell shown
# **E above lowest polymorph**: 0.000 eV per formula unit
data_TmZr2Co
_space_group_name_H-M_alt 'P n m a'
_space_group_IT_number 62
_space_group_name_Hall '-P 2ac 2n'
_cell_length_a 6.3581
_cell_length_b 9.2369
_cell_length_c 5.8518
_cell_angle_alpha 90.00
_cell_angle_beta 90.00
_cell_angle_gamma 90.00
loop_
_atom_site_label
_atom_site_type_symbol
_atom_site_fract_x
_atom_site_fract_y
_atom_site_fract_z
_atom_site_occupancy
Tm1 Tm 0.0288 0.2500 0.1428 1
Zr1 Zr 0.1759 0.0629 0.6739 1
Co1 Co 0.1082 0.7500 0.4001 1

---

6.
# NiSn2Hg PBE-GGA relaxed
# **Fermi-level density of states**: 0.6279 states/eV/atom
# **DFT formation energy**: 0.199 eV/atom
# **Total DFT energy (no corrections)**: -53.2 eV for the cell shown
data_NiSn2Hg
_space_group_name_H-M_alt 'I -4 2 d'
_space_group_IT_number 122
_space_group_name_Hall 'I -4 2bw'
_cell_length_a 4.8427
_cell_length_b 4.8427
_cell_length_c 16.7902
_cell_angle_alpha 90.00
_cell_angle_beta 90.00
_cell_angle_gamma 90.00
loop_
_atom_site_label
_atom_site_type_symbol
_atom_site_fract_x
_atom_site_fract_y
_atom_site_fract_z
_atom_site_occupancy
Ni1 Ni 0.0000 0.0000 0.0000 1
Sn1 Sn 0.1904 0.2500 0.1250 1
Hg1 Hg 0.0000 0.0000 0.5000 1

---

7.
# Lu2VGa PBE-GGA relaxed
# **Fermi-level density of states**: 0.5508 states/eV/atom
# **DFT formation energy**: -0.144 eV/atom
# **Total DFT energy (no corrections)**: -21.8 eV for the cell shown
# **E above lowest polymorph**: 0.000 eV per formula unit
data_Lu2VGa
_space_group_name_H-M_alt 'P 4/m m m'
_space_group_IT_number 123
_space_group_name_Hall '-P 4 2'
_cell_length_a 3.5498
_cell_length_b 3.5498
_cell_length_c 6.8497
_cell_angle_alpha 90.00
_cell_angle_beta 90.00
_cell_angle_gamma 90.00
loop_
_atom_site_label
_atom_site_type_symbol
_atom_site_fract_x
_atom_site_fract_y
_atom_site_fract_z
_atom_site_occupancy
Lu1 Lu 0.0000 0.0000 0.2464 1
V1 V 0.5000 0.5000 0.0000 1
Ga1 Ga 0.5000 0.5000 0.5000 1

---

8.
# AcPm2Co2 PBE-GGA relaxed
# **Fermi-level density of states**: 1.1879 states/eV/atom
# **DFT formation energy**: -0.037 eV/atom
# **Total DFT energy (no corrections)**: -56.0 eV for the cell shown
# **E above lowest polymorph**: 0.000 eV per formula unit
data_AcPm2Co2
_space_group_name_H-M_alt 'C m m m'
_space_group_IT_number 65
_space_group_name_Hall '-C 2 2'
_cell_length_a 3.9838
_cell_length_b 16.4140
_cell_length_c 4.0604
_cell_angle_alpha 90.00
_cell_angle_beta 90.00
_cell_angle_gamma 90.00
loop_
_atom_site_label
_atom_site_type_symbol
_atom_site_fract_x
_atom_site_fract_y
_atom_site_fract_z
_atom_site_occupancy
Ac1 Ac 0.0000 0.0000 0.0000 1
Pm1 Pm 0.0000 0.3438 0.5000 1
Co1 Co 0.0000 0.2181 0.0000 1

---

9.
# ZnAs2WI PBE-GGA relaxed
# **Fermi-level density of states**: 1.0124 states/eV/atom
# **Formation energy without anion corrections**: 0.463 eV/atom
# **Total DFT energy (no corrections)**: -22.8 eV for the cell shown
data_ZnAs2WI
_space_group_name_H-M_alt 'P 4/m m m'
_space_group_IT_number 123
_space_group_name_Hall '-P 4 2'
_cell_length_a 4.8764
_cell_length_b 4.8764
_cell_length_c 5.3175
_cell_angle_alpha 90.00
_cell_angle_beta 90.00
_cell_angle_gamma 90.00
loop_
_atom_site_label
_atom_site_type_symbol
_atom_site_fract_x
_atom_site_fract_y
_atom_site_fract_z
_atom_site_occupancy
Zn1 Zn 0.0000 0.0000 0.0000 1
As1 As 0.0000 0.5000 0.5000 1
W1 W 0.0000 0.0000 0.5000 1
I1 I 0.5000 0.5000 0.0000 1

---

10.
# LaAgMo PBE-GGA relaxed
# **Fermi-level density of states**: 0.7881 states/eV/atom
# **DFT formation energy**: 0.494 eV/atom
# **Total DFT energy (no corrections)**: -34.3 eV for the cell shown
# **E above lowest polymorph**: 0.000 eV per formula unit
data_LaAgMo
_space_group_name_H-M_alt 'I 4 m m'
_space_group_IT_number 107
_space_group_name_Hall 'I 4 -2'
_cell_length_a 2.9224
_cell_length_b 2.9224
_cell_length_c 14.7305
_cell_angle_alpha 90.00
_cell_angle_beta 90.00
_cell_angle_gamma 90.00
loop_
_atom_site_label
_atom_site_type_symbol
_atom_site_fract_x
_atom_site_fract_y
_atom_site_fract_z
_atom_site_occupancy
La1 La 0.0000 0.0000 0.0000 1
Ag1 Ag 0.0000 0.0000 0.6839 1
Mo1 Mo 0.0000 0.0000 0.3240 1

---

11.
# CaPr5Dy6 PBE-GGA relaxed
# **Fermi-level density of states**: 1.3946 states/eV/atom
# **DFT formation energy**: 0.040 eV/atom
# **Total DFT energy (no corrections)**: -106.1 eV for the cell shown
data_CaPr5Dy6
_space_group_name_H-M_alt 'C 1 2/m 1'
_space_group_IT_number 12
_space_group_name_Hall '-C 2y'
_cell_length_a 12.0160
_cell_length_b 10.9251
_cell_length_c 6.3062
_cell_angle_alpha 90.00
_cell_angle_beta 100.01
_cell_angle_gamma 90.00
loop_
_atom_site_label
_atom_site_type_symbol
_atom_site_fract_x
_atom_site_fract_y
_atom_site_fract_z
_atom_site_occupancy
Ca1 Ca 0.0000 0.0000 0.0000 1
Pr1 Pr 0.0000 0.1692 0.5000 1
Pr2 Pr 0.0000 0.3363 0.0000 1
Pr3 Pr 0.0000 0.5000 0.5000 1
Dy1 Dy 0.2462 0.3310 0.7461 1
Dy2 Dy 0.2477 0.5000 0.2543 1

---

12.
# DyInSe3 PBE-GGA relaxed
# **Formation energy without anion corrections**: -1.154 eV/atom
# **Total DFT energy (no corrections)**: -47.1 eV for the cell shown
# **E above lowest polymorph**: 0.000 eV per formula unit
data_DyInSe3
_space_group_name_H-M_alt 'P 1 21/m 1'
_space_group_IT_number 11
_space_group_name_Hall '-P 2yb'
_cell_length_a 7.2864
_cell_length_b 4.1636
_cell_length_c 10.4960
_cell_angle_alpha 90.00
_cell_angle_beta 98.12
_cell_angle_gamma 90.00
loop_
_atom_site_label
_atom_site_type_symbol
_atom_site_fract_x
_atom_site_fract_y
_atom_site_fract_z
_atom_site_occupancy
Dy1 Dy 0.2106 0.2500 0.4344 1
In1 In 0.4087 0.2500 0.8599 1
Se1 Se 0.0350 0.2500 0.6565 1
Se2 Se 0.2651 0.7500 0.9656 1
Se3 Se 0.4698 0.7500 0.3611 1